The following is a DFT calculation (PBE with a Hubbard U) of a relaxed structure of ZnW2O4.

a b c (Å): 3.1721 10.4727 10.3668
angles (deg): 90.00 90.00 90.00
Closest atoms and distances in Å follow each position.
Space group Cmcm (No. 63)
One atom of each set of equivalent atoms:
Zn: 0.0000 0.1072 0.2500 [4 per cell]  2 O 2.05
W: 0.0000 0.3688 0.0731 [8 per cell]  6 O 2.17-2.23
O: 0.0000 0.0000 0.0000 [4 per cell]  4 W 2.23
O: 0.0000 0.2674 0.6122 [8 per cell]  3 W 2.17-2.19
O: 0.0000 0.4833 0.2500 [4 per cell]  2 Zn 2.05, 2 W 2.19

* offset from the most stable computed form: 216 meV per atom